Entry 1:
## KBe2AuF8 (PBE-GGA)

Data for a relaxed structure of KBe2AuF8.

The space group is R32 (No. 155, hexagonal axes) and the conventional cell measures 4.9910, 4.9910 and 24.7234 Å, with angles of 90.00, 90.00 and 120.00 degrees. Symmetry generates all atoms from K at (0.0000, 0.0000, 0.0000), Be at (0.0000, 0.0000, 0.2470), Au at (0.0000, 0.0000, 0.5000), F at (0.0000, 0.0000, 0.3074) and F at (0.0190, 0.3930, 0.8910).

The uncorrected formation energy is -2.332 eV/atom. The total energy comes out at -4.565 eV per atom.

***

Entry 2:
## LaBeAu2F (PBE-GGA)

Data for a relaxed structure of LaBeAu2F.

The space group is P4/mmm (No. 123) and the conventional cell measures 5.674, 5.674 and 6.261 Å, with angles of 90.00, 90.00 and 90.00 degrees. Symmetry generates all atoms from La at (0.000, 0.000, 0.000), Be at (0.000, 0.000, 0.500), Au at (0.000, 0.500, 0.000) and F at (0.500, 0.500, 0.500).

The uncorrected formation energy is 0.650 eV/atom. The total energy comes out at -2.766 eV per atom. Its density of states at the Fermi level is 4.9 states/eV/cell.

***

Entry 3:
## LaBeAu2F (PBE-GGA)

Data for a relaxed structure of LaBeAu2F.

The space group is P4/mmm (No. 123) and the conventional cell measures 5.708, 5.708 and 3.044 Å, with angles of 90.00, 90.00 and 90.00 degrees. Symmetry generates all atoms from La at (0.000, 0.000, 0.000), Be at (0.500, 0.500, 0.000), Au at (0.000, 0.500, 0.500) and F at (0.500, 0.500, 0.500).

The uncorrected formation energy is -0.685 eV/atom. The total energy comes out at -4.101 eV per atom. Its density of states at the Fermi level is 2.9 states/eV/cell.

***

Entry 4:
## Li2BeAuF (PBE-GGA)

Data for a relaxed structure of Li2BeAuF.

The space group is P4/mmm (No. 123) and the conventional cell measures 4.937, 4.937 and 4.513 Å, with angles of 90.00, 90.00 and 90.00 degrees. Symmetry generates all atoms from Li at (0.000, 0.500, 0.000), Be at (0.000, 0.000, 0.500), Au at (0.500, 0.500, 0.000) and F at (0.500, 0.500, 0.500).

The uncorrected formation energy is 0.164 eV/atom. The total energy comes out at -2.377 eV per atom. Its density of states at the Fermi level is 0.4 states/eV/cell.

***

Which value of uncorrected formation energy does entry 1 give?
-2.332 eV/atom